(1)
## Li15Tl4Hg (PBE)

Data for a geometry-optimized Li15Tl4Hg structure.

Unit cell a=4.1395 b=4.1395 c=21.9996 alpha=90.00 beta=90.00 gamma=90.00
With the nearest neighbours (Å) after each atom.
Space group P4/mmm (No. 123)
Asymmetric unit:
Li (0.0000, 0.0000, 0.0000) (multiplicity 1)  4 Hg 2.93, 8 Li 2.93
Li (0.0000, 0.0000, 0.1943) (multiplicity 2)  4 Tl 2.93, 8 Li 3.02-3.05
Li (0.0000, 0.0000, 0.3979) (multiplicity 2)  4 Tl 2.93, 8 Li 3.05
Li (0.0000, 0.5000, 0.0943) (multiplicity 4)  8 Li 2.93-3.02, 2 Hg 2.93, 2 Tl 3.04
Li (0.0000, 0.5000, 0.2959) (multiplicity 4)  8 Li 2.93-3.05, 4 Tl 3.02-3.05
Li (0.0000, 0.5000, 0.5000) (multiplicity 2)  8 Li 2.93-3.05, 4 Tl 3.06
Tl (0.5000, 0.5000, 0.1956) (multiplicity 2)  12 Li 2.93-3.04
Tl (0.5000, 0.5000, 0.3976) (multiplicity 2)  12 Li 2.93-3.06
Hg (0.5000, 0.5000, 0.0000) (multiplicity 1)  12 Li 2.93

## Properties
D(E_F), states/eV per atom: 0.40
Total moment, μB/atom: 0.00
Formation energy, eV/atom: -0.203


(2)
## LiTlHg2 (PBE)

Data for a geometry-optimized LiTlHg2 structure.

Unit cell a=5.9153 b=3.3922 c=9.9868 alpha=90.00 beta=103.90 gamma=90.00
With the nearest neighbours (Å) after each atom.
Space group Cm (No. 8)
Asymmetric unit:
Li (0.0000, 0.0000, 0.0000) (multiplicity 2)  6 Hg 2.84-2.87
Tl (0.3301, 0.5000, 0.4995) (multiplicity 2)  6 Hg 3.29-3.51, 6 Tl 3.39-3.41
Hg (0.0831, 0.5000, 0.7855) (multiplicity 2)  3 Li 2.85-2.87
Hg (0.4160, 0.0000, 0.2135) (multiplicity 2)  3 Li 2.84-2.86

## Properties
D(E_F), states/eV per atom: 0.24
Total moment, μB/atom: 0.00
E above lowest polymorph, meV per atom: 29
Formation energy, eV/atom: -0.151


(3)
## Li8TlHg2 (PBE)

Data for a geometry-optimized Li8TlHg2 structure.

Unit cell a=4.4947 b=7.2896 c=12.6281 alpha=90.00 beta=90.00 gamma=90.00
With the nearest neighbours (Å) after each atom.
Space group Immm (No. 71)
Asymmetric unit:
Li (0.0000, 0.0000, 0.1486) (multiplicity 4)  8 Li 2.89-3.09, 2 Tl 2.93, 2 Hg 2.95
Li (0.0000, 0.2095, 0.3494) (multiplicity 8)  3 Hg 2.79-2.83, 1 Tl 2.85, 6 Li 2.95-3.09
Li (0.0000, 0.3011, 0.0000) (multiplicity 4)  7 Li 2.89-2.95, 2 Hg 2.92, 2 Tl 3.14
Tl (0.0000, 0.5000, 0.5000) (multiplicity 2)  12 Li 2.85-3.14
Hg (0.0000, 0.5000, 0.2006) (multiplicity 4)  10 Li 2.79-2.95

## Properties
D(E_F), states/eV per atom: 0.33
Total moment, μB/atom: 0.00
E above lowest polymorph, meV per atom: 0
Formation energy, eV/atom: -0.248